An optimized crystal structure of TbMg2UN4. Source: Alexandria, functional PBE.

Volume in A^3/atom: 13.2
E_form (uncorrected) in kcal/mol of atoms: -27.43
Raw total energy in eV/atom: -7.741

Cell lengths 5.566, 3.426, 5.881 Å; angles 90.00, 109.98, 90.00 degrees
Space group P2/m (No. 10)
One atom of each set of equivalent atoms:
Tb 0.000 0.000 0.000 x1
Mg 0.500 0.000 0.500 x1
Mg 0.500 0.500 0.000 x1
U 0.000 0.500 0.500 x1
N 0.237 0.500 0.269 x2
N 0.246 0.000 0.737 x2